Entry 1:
Here is a geometry-optimized Ac2PuAu6 structure from the Alexandria database. Energies are from PBE.

Cell lengths 3.893, 7.931, 15.344 Å; angles 90.00, 90.00, 90.00 degrees
Space group Immm (No. 71)
Symmetry-distinct sites (fractional):
Ac: 0.000 0.000 0.143 (multiplicity 4)
Pu: 0.000 0.500 0.000 (multiplicity 2)
Au: 0.000 0.178 0.330 (multiplicity 8)
Au: 0.000 0.312 0.500 (multiplicity 4)

Output
* spin magnetization: 5.86 μB/f.u.
* calculated formation energy: -502 kJ/mol of formula units
* energy relative to the lowest polymorph listed for this composition: 0.111 eV per atom

Entry 2:
Here is a geometry-optimized MnFe5B2W2 structure from the Alexandria database. Energies are from PBE.

Cell lengths 8.504, 8.504, 2.926 Å; angles 90.00, 90.00, 90.00 degrees
Space group P4/mbm (No. 127)
Symmetry-distinct sites (fractional):
Mn: 0.000 0.000 0.000 (multiplicity 2)
Fe: 0.000 0.500 0.500 (multiplicity 2)
Fe: 0.068 0.216 0.500 (multiplicity 8)
B: 0.121 0.379 0.000 (multiplicity 4)
W: 0.178 0.678 0.000 (multiplicity 4)

Output
* spin magnetization: 3.78 μB/f.u.
* calculated formation energy: -195 kJ/mol of formula units

Entry 3:
Here is a geometry-optimized BaFeAs2S8 structure from the Alexandria database. Energies are from PBE.

Cell lengths 5.9770, 5.9770, 8.8483 Å; angles 90.00, 90.00, 120.00 degrees
Space group P-3 (No. 147)
Symmetry-distinct sites (fractional):
Ba: 0.0000 0.0000 0.0000 (multiplicity 1)
Fe: 0.0000 0.0000 0.5000 (multiplicity 1)
As: 0.3333 0.6667 0.7129 (multiplicity 2)
S: 0.0265 0.7110 0.3439 (multiplicity 6)
S: 0.3333 0.6667 0.9559 (multiplicity 2)

Output
* spin magnetization: 2.04 μB/f.u.
* formation energy from raw total energies: -373 meV per atom

Entry 4:
Here is a geometry-optimized Ac3SnP2Pt6 structure from the Alexandria database. Energies are from PBE.

Cell lengths 5.7934, 5.7934, 9.9999 Å; angles 90.00, 90.00, 120.00 degrees
Space group P-3m1 (No. 164)
Symmetry-distinct sites (fractional):
Ac: 0.0000 0.0000 0.0000 (multiplicity 1)
Ac: 0.3333 0.6667 0.6071 (multiplicity 2)
Sn: 0.0000 0.0000 0.5000 (multiplicity 1)
P: 0.3333 0.6667 0.1098 (multiplicity 2)
Pt: 0.1669 0.3338 0.2760 (multiplicity 6)

Output
* spin magnetization: 0.00 μB/f.u.
* calculated formation energy: -1113 kJ/mol of formula units

Entry 5:
Here is a geometry-optimized CsBa2ZnO structure from the Alexandria database. Energies are from PBE.

Cell lengths 7.447, 7.447, 3.963 Å; angles 90.00, 90.00, 90.00 degrees
Space group P4/mmm (No. 123)
Symmetry-distinct sites (fractional):
Cs: 0.000 0.000 0.000 (multiplicity 1)
Ba: 0.000 0.500 0.500 (multiplicity 2)
Zn: 0.500 0.500 0.500 (multiplicity 1)
O: 0.500 0.500 0.000 (multiplicity 1)

Output
* spin magnetization: 0.00 μB/f.u.
* formation energy from raw total energies: 8 meV per atom

Entry 6:
Here is a geometry-optimized CsBiI2O structure from the Alexandria database. Energies are from PBE.

Cell lengths 6.532, 6.532, 4.433 Å; angles 90.00, 90.00, 90.00 degrees
Space group P4/mmm (No. 123)
Symmetry-distinct sites (fractional):
Cs: 0.000 0.000 0.000 (multiplicity 1)
Bi: 0.500 0.500 0.500 (multiplicity 1)
I: 0.000 0.500 0.500 (multiplicity 2)
O: 0.500 0.500 0.000 (multiplicity 1)

Output
* spin magnetization: 0.00 μB/f.u.
* formation energy from raw total energies: -930 meV per atom
* energy relative to the lowest polymorph listed for this composition: 0.000 eV per atom

Q: Which formula does entry 2 have?
A: MnFe5B2W2

Q: Which of these has the highest spin magnetization?
A: Ac2PuAu6

Q: Which value of spin magnetization does entry 5 give?
A: 0.00 μB/f.u.